(1)
# LiHoI4 | Alexandria via LeMat-Bulk | PBE-GGA | relaxed
data_LiHoI4
_chemical_formula_sum 'Li1 Ho1 I4'
_cell_length_a 7.5332
_cell_length_b 4.3204
_cell_length_c 8.0946
_cell_angle_alpha 90.00
_cell_angle_beta 107.21
_cell_angle_gamma 90.00
_space_group_name_H-M_alt 'P 1'
_space_group_IT_number 1
loop_
_space_group_symop_operation_xyz
'x,y,z'
loop_
_atom_site_label
_atom_site_type_symbol
_atom_site_fract_x
_atom_site_fract_y
_atom_site_fract_z
_atom_site_occupancy
Li1 Li 0.0000 0.0000 0.0000 1
Ho1 Ho 0.5000 0.5000 0.0000 1
I1 I 0.2365 0.5000 0.2125 1
I2 I 0.2665 0.0000 0.7672 1
I3 I 0.7335 0.0000 0.2328 1
I4 I 0.7635 0.5000 0.7875 1
# DOS at the Fermi energy = 0.00 states/eV/atom
# E_tot = -3.434 eV/atom
# E_form (uncorrected) = -1.32 eV per atom
# SG = P2/m

***

(2)
# LiHoI | Alexandria via LeMat-Bulk | PBE-GGA | relaxed
data_LiHoI
_chemical_formula_sum 'Li2 Ho2 I2'
_cell_length_a 3.8550
_cell_length_b 3.8550
_cell_length_c 15.7316
_cell_angle_alpha 96.48
_cell_angle_beta 96.48
_cell_angle_gamma 59.97
_space_group_name_H-M_alt 'P 1'
_space_group_IT_number 1
loop_
_space_group_symop_operation_xyz
'x,y,z'
loop_
_atom_site_label
_atom_site_type_symbol
_atom_site_fract_x
_atom_site_fract_y
_atom_site_fract_z
_atom_site_occupancy
Li1 Li 0.1866 0.1866 0.0650 1
Li2 Li 0.8134 0.8134 0.9350 1
Ho1 Ho 0.0987 0.0987 0.7782 1
Ho2 Ho 0.9013 0.9013 0.2218 1
I1 I 0.3894 0.3894 0.6399 1
I2 I 0.6106 0.6106 0.3601 1
# DOS at the Fermi energy = 0.81 states/eV/atom
# E_tot = -3.097 eV/atom
# E_form (uncorrected) = -0.42 eV per atom
# SG = C2/m

***

(3)
# Li2HoI6 | Alexandria via LeMat-Bulk | PBE-GGA | relaxed
data_Li2HoI6
_chemical_formula_sum 'Li4 Ho2 I12'
_cell_length_a 9.8701
_cell_length_b 9.8701
_cell_length_c 8.0131
_cell_angle_alpha 100.83
_cell_angle_beta 100.83
_cell_angle_gamma 89.53
_space_group_name_H-M_alt 'P 1'
_space_group_IT_number 1
loop_
_space_group_symop_operation_xyz
'x,y,z'
loop_
_atom_site_label
_atom_site_type_symbol
_atom_site_fract_x
_atom_site_fract_y
_atom_site_fract_z
_atom_site_occupancy
Li1 Li 0.0825 0.2568 0.2965 1
Li2 Li 0.2568 0.0825 0.7965 1
Li3 Li 0.7432 0.9175 0.2035 1
Li4 Li 0.9175 0.7432 0.7035 1
Ho1 Ho 0.4091 0.5909 0.7500 1
Ho2 Ho 0.5909 0.4091 0.2500 1
I1 I 0.0319 0.1657 0.5837 1
I2 I 0.1283 0.5729 0.8157 1
I3 I 0.1657 0.0319 0.0837 1
I4 I 0.3058 0.4614 0.3672 1
I5 I 0.4271 0.8717 0.6843 1
I6 I 0.4614 0.3058 0.8672 1
I7 I 0.5386 0.6942 0.1328 1
I8 I 0.5729 0.1283 0.3157 1
I9 I 0.6942 0.5386 0.6328 1
I10 I 0.8343 0.9681 0.9163 1
I11 I 0.8717 0.4271 0.1843 1
I12 I 0.9681 0.8343 0.4163 1
# DOS at the Fermi energy = 0.01 states/eV/atom
# E_tot = -3.029 eV/atom
# E_form (uncorrected) = -1.06 eV per atom
# SG = C2/c

***

(4)
# RbLi2HoI6 | Alexandria via LeMat-Bulk | PBE-GGA | relaxed
data_RbLi2HoI6
_chemical_formula_sum 'Rb1 Li2 Ho1 I6'
_cell_length_a 7.9277
_cell_length_b 7.9292
_cell_length_c 8.6032
_cell_angle_alpha 62.57
_cell_angle_beta 62.65
_cell_angle_gamma 60.09
_space_group_name_H-M_alt 'P 1'
_space_group_IT_number 1
loop_
_space_group_symop_operation_xyz
'x,y,z'
loop_
_atom_site_label
_atom_site_type_symbol
_atom_site_fract_x
_atom_site_fract_y
_atom_site_fract_z
_atom_site_occupancy
Rb1 Rb 0.0000 0.0000 0.0000 1
Li1 Li 0.2025 0.2002 0.3949 1
Li2 Li 0.7105 0.7114 0.8660 1
Ho1 Ho 0.5203 0.5208 0.4382 1
I1 I 0.1135 0.7809 0.6435 1
I2 I 0.3663 0.5286 0.1686 1
I3 I 0.4615 0.1135 0.6438 1
I4 I 0.5286 0.9361 0.1682 1
I5 I 0.7802 0.4623 0.6442 1
I6 I 0.9351 0.3670 0.1691 1
# DOS at the Fermi energy = 0.00 states/eV/atom
# E_tot = -3.165 eV/atom
# E_form (uncorrected) = -1.30 eV per atom
# SG = P1

***

(5)
# Rb3Li2HoI8 | Alexandria via LeMat-Bulk | PBE-GGA | relaxed
data_Rb3Li2HoI8
_chemical_formula_sum 'Rb3 Li2 Ho1 I8'
_cell_length_a 8.4403
_cell_length_b 8.4403
_cell_length_c 10.5191
_cell_angle_alpha 90.00
_cell_angle_beta 90.00
_cell_angle_gamma 120.00
_space_group_name_H-M_alt 'P 1'
_space_group_IT_number 1
loop_
_space_group_symop_operation_xyz
'x,y,z'
loop_
_atom_site_label
_atom_site_type_symbol
_atom_site_fract_x
_atom_site_fract_y
_atom_site_fract_z
_atom_site_occupancy
Rb1 Rb 0.0000 0.0000 0.0000 1
Rb2 Rb 0.3333 0.6667 0.6189 1
Rb3 Rb 0.6667 0.3333 0.3811 1
Li1 Li 0.3333 0.6667 0.1933 1
Li2 Li 0.6667 0.3333 0.8067 1
Ho1 Ho 0.0000 0.0000 0.5000 1
I1 I 0.1647 0.3294 0.3283 1
I2 I 0.1647 0.8353 0.3283 1
I3 I 0.3294 0.1647 0.6717 1
I4 I 0.3333 0.6667 0.9481 1
I5 I 0.6667 0.3333 0.0519 1
I6 I 0.6706 0.8353 0.3283 1
I7 I 0.8353 0.1647 0.6717 1
I8 I 0.8353 0.6706 0.6717 1
# DOS at the Fermi energy = 0.00 states/eV/atom
# E_tot = -3.020 eV/atom
# E_form (uncorrected) = -1.33 eV per atom
# SG = P-3m1

***

(6)
# SrLiHoI6 | Alexandria via LeMat-Bulk | PBE-GGA | relaxed
data_SrLiHoI6
_chemical_formula_sum 'Sr2 Li2 Ho2 I12'
_cell_length_a 7.7242
_cell_length_b 7.7242
_cell_length_c 14.4036
_cell_angle_alpha 90.00
_cell_angle_beta 90.00
_cell_angle_gamma 120.00
_space_group_name_H-M_alt 'P 1'
_space_group_IT_number 1
loop_
_space_group_symop_operation_xyz
'x,y,z'
loop_
_atom_site_label
_atom_site_type_symbol
_atom_site_fract_x
_atom_site_fract_y
_atom_site_fract_z
_atom_site_occupancy
Sr1 Sr 0.0000 0.0000 0.0000 1
Sr2 Sr 0.0000 0.0000 0.5000 1
Li1 Li 0.3333 0.6667 0.2500 1
Li2 Li 0.6667 0.3333 0.7500 1
Ho1 Ho 0.3333 0.6667 0.7500 1
Ho2 Ho 0.6667 0.3333 0.2500 1
I1 I 0.0009 0.3557 0.1310 1
I2 I 0.0009 0.6452 0.3690 1
I3 I 0.3548 0.3557 0.3690 1
I4 I 0.3548 0.9991 0.1310 1
I5 I 0.3557 0.0009 0.6310 1
I6 I 0.3557 0.3548 0.8690 1
I7 I 0.6443 0.6452 0.1310 1
I8 I 0.6443 0.9991 0.3690 1
I9 I 0.6452 0.0009 0.8690 1
I10 I 0.6452 0.6443 0.6310 1
I11 I 0.9991 0.3548 0.6310 1
I12 I 0.9991 0.6443 0.8690 1
# DOS at the Fermi energy = 0.00 states/eV/atom
# E_tot = -3.361 eV/atom
# E_form (uncorrected) = -1.42 eV per atom
# SG = P-31c

***

(7)
# LiHoTl2I6 | Alexandria via LeMat-Bulk | PBE-GGA | relaxed
data_LiHoTl2I6
_chemical_formula_sum 'Li2 Ho2 Tl4 I12'
_cell_length_a 8.0288
_cell_length_b 8.5014
_cell_length_c 14.0040
_cell_angle_alpha 90.00
_cell_angle_beta 124.44
_cell_angle_gamma 90.00
_space_group_name_H-M_alt 'P 1'
_space_group_IT_number 1
loop_
_space_group_symop_operation_xyz
'x,y,z'
loop_
_atom_site_label
_atom_site_type_symbol
_atom_site_fract_x
_atom_site_fract_y
_atom_site_fract_z
_atom_site_occupancy
Li1 Li 0.0000 0.0000 0.0000 1
Li2 Li 0.0000 0.5000 0.5000 1
Ho1 Ho 0.5000 0.0000 0.5000 1
Ho2 Ho 0.5000 0.5000 0.0000 1
Tl1 Tl 0.2138 0.0896 0.7452 1
Tl2 Tl 0.2138 0.4104 0.2452 1
Tl3 Tl 0.7862 0.5896 0.7548 1
Tl4 Tl 0.7862 0.9104 0.2548 1
I1 I 0.1420 0.1942 0.4495 1
I2 I 0.1420 0.3058 0.9495 1
I3 I 0.2613 0.6988 0.4500 1
I4 I 0.2613 0.8012 0.9500 1
I5 I 0.3536 0.0172 0.2482 1
I6 I 0.3536 0.4828 0.7482 1
I7 I 0.6464 0.5172 0.2518 1
I8 I 0.6464 0.9828 0.7518 1
I9 I 0.7387 0.1988 0.0500 1
I10 I 0.7387 0.3012 0.5500 1
I11 I 0.8580 0.6942 0.0505 1
I12 I 0.8580 0.8058 0.5505 1
# DOS at the Fermi energy = 0.00 states/eV/atom
# E_tot = -3.102 eV/atom
# E_form (uncorrected) = -1.05 eV per atom
# SG = P2_1/c

***

(8)
# Li2HoTlI6 | Alexandria via LeMat-Bulk | PBE-GGA | relaxed
data_Li2HoTlI6
_chemical_formula_sum 'Li2 Ho1 Tl1 I6'
_cell_length_a 8.5116
_cell_length_b 8.5116
_cell_length_c 8.5116
_cell_angle_alpha 54.79
_cell_angle_beta 54.79
_cell_angle_gamma 54.79
_space_group_name_H-M_alt 'P 1'
_space_group_IT_number 1
loop_
_space_group_symop_operation_xyz
'x,y,z'
loop_
_atom_site_label
_atom_site_type_symbol
_atom_site_fract_x
_atom_site_fract_y
_atom_site_fract_z
_atom_site_occupancy
Li1 Li 0.0000 0.0000 0.0000 1
Li2 Li 0.4935 0.4935 0.4935 1
Ho1 Ho 0.6783 0.6783 0.6783 1
Tl1 Tl 0.1922 0.1922 0.1922 1
I1 I 0.0866 0.4149 0.7427 1
I2 I 0.2633 0.8523 0.6505 1
I3 I 0.4149 0.7427 0.0866 1
I4 I 0.6504 0.2633 0.8523 1
I5 I 0.7427 0.0866 0.4149 1
I6 I 0.8523 0.6504 0.2633 1
# DOS at the Fermi energy = 0.00 states/eV/atom
# E_tot = -3.142 eV/atom
# E_form (uncorrected) = -1.13 eV per atom
# SG = R3

***

(9)
# Ho2LuI | Alexandria via LeMat-Bulk | PBE-GGA | relaxed
data_Ho2LuI
_chemical_formula_sum 'Ho2 Lu1 I1'
_cell_length_a 3.6013
_cell_length_b 3.6013
_cell_length_c 9.3668
_cell_angle_alpha 90.00
_cell_angle_beta 90.00
_cell_angle_gamma 90.00
_space_group_name_H-M_alt 'P 1'
_space_group_IT_number 1
loop_
_space_group_symop_operation_xyz
'x,y,z'
loop_
_atom_site_label
_atom_site_type_symbol
_atom_site_fract_x
_atom_site_fract_y
_atom_site_fract_z
_atom_site_occupancy
Ho1 Ho 0.0000 0.0000 0.2479 1
Ho2 Ho 0.0000 0.0000 0.7521 1
Lu1 Lu 0.5000 0.5000 0.5000 1
I1 I 0.5000 0.5000 0.0000 1
# DOS at the Fermi energy = 1.15 states/eV/atom
# E_tot = -4.067 eV/atom
# E_form (uncorrected) = -0.26 eV per atom
# excess energy over the best structure of this formula in the dataset = 0.0594 eV/atom
# SG = P4/mmm

***

(10)
# HoLuI2 | Alexandria via LeMat-Bulk | PBE-GGA | relaxed
data_HoLuI2
_chemical_formula_sum 'Ho1 Lu1 I2'
_cell_length_a 10.8038
_cell_length_b 10.8038
_cell_length_c 10.8038
_cell_angle_alpha 20.29
_cell_angle_beta 20.29
_cell_angle_gamma 20.29
_space_group_name_H-M_alt 'P 1'
_space_group_IT_number 1
loop_
_space_group_symop_operation_xyz
'x,y,z'
loop_
_atom_site_label
_atom_site_type_symbol
_atom_site_fract_x
_atom_site_fract_y
_atom_site_fract_z
_atom_site_occupancy
Ho1 Ho 0.0000 0.0000 0.0000 1
Lu1 Lu 0.5000 0.5000 0.5000 1
I1 I 0.4031 0.4031 0.4031 1
I2 I 0.5969 0.5969 0.5969 1
# DOS at the Fermi energy = 0.60 states/eV/atom
# E_tot = -3.619 eV/atom
# E_form (uncorrected) = -0.57 eV per atom
# SG = R-3m

***

(11)
# Ho2LuI | Alexandria via LeMat-Bulk | PBE-GGA | relaxed
data_Ho2LuI
_chemical_formula_sum 'Ho2 Lu1 I1'
_cell_length_a 10.5688
_cell_length_b 10.5688
_cell_length_c 10.5688
_cell_angle_alpha 20.20
_cell_angle_beta 20.20
_cell_angle_gamma 20.20
_space_group_name_H-M_alt 'P 1'
_space_group_IT_number 1
loop_
_space_group_symop_operation_xyz
'x,y,z'
loop_
_atom_site_label
_atom_site_type_symbol
_atom_site_fract_x
_atom_site_fract_y
_atom_site_fract_z
_atom_site_occupancy
Ho1 Ho 0.2465 0.2465 0.2465 1
Ho2 Ho 0.7535 0.7535 0.7535 1
Lu1 Lu 0.0000 0.0000 0.0000 1
I1 I 0.5000 0.5000 0.5000 1
# DOS at the Fermi energy = 1.12 states/eV/atom
# E_tot = -4.126 eV/atom
# E_form (uncorrected) = -0.32 eV per atom
# excess energy over the best structure of this formula in the dataset = 0.0000 eV/atom
# SG = R-3m

***

(12)
# Ho2MgI | Alexandria via LeMat-Bulk | PBE-GGA | relaxed
data_Ho2MgI
_chemical_formula_sum 'Ho2 Mg1 I1'
_cell_length_a 11.7378
_cell_length_b 11.7378
_cell_length_c 11.7378
_cell_angle_alpha 17.55
_cell_angle_beta 17.55
_cell_angle_gamma 17.55
_space_group_name_H-M_alt 'P 1'
_space_group_IT_number 1
loop_
_space_group_symop_operation_xyz
'x,y,z'
loop_
_atom_site_label
_atom_site_type_symbol
_atom_site_fract_x
_atom_site_fract_y
_atom_site_fract_z
_atom_site_occupancy
Ho1 Ho 0.0945 0.0945 0.0945 1
Ho2 Ho 0.9055 0.9055 0.9055 1
Mg1 Mg 0.0000 0.0000 0.0000 1
I1 I 0.5000 0.5000 0.5000 1
# DOS at the Fermi energy = 1.40 states/eV/atom
# E_tot = -3.063 eV/atom
# E_form (uncorrected) = 0.01 eV per atom
# SG = R-3m